! Sr3Al8Pd3 | Alexandria via LeMat-Bulk | GGA-PBE | relaxed; values from VASP
&SYSTEM
  ibrav = 0, nat = 14, ntyp = 3
/
ATOMIC_SPECIES
Sr 87.62 Sr.upf
Al 26.98 Al.upf
Pd 106.42 Pd.upf
CELL_PARAMETERS angstrom
-2.2235 5.2583 6.3834
2.2235 -5.2583 6.3834
2.2235 5.2583 -6.3834
ATOMIC_POSITIONS angstrom
Sr 0.0000 0.0000 0.0000
Sr 0.0000 0.0000 4.1369
Sr 0.0000 0.0000 8.6298
Al 2.2235 -1.5770 2.2898
Al 2.2235 -2.2566 4.9704
Al 2.2235 1.5770 2.2898
Al 0.0000 3.0016 1.4130
Al 2.2235 2.2566 4.9704
Al 0.0000 3.6813 4.0936
Al 0.0000 7.5149 1.4130
Al 0.0000 6.8352 4.0936
Pd 2.2235 2.7056 0.0000
Pd 0.0000 5.2583 0.0000
Pd 0.0000 2.5527 6.3834
! Energy above the lowest structure with this stoichiometry: 0.000 eV per atom
! ρ: 4.44 Mg/m³
! DFT formation energy: -509 meV/atom
! DOS at the Fermi energy: 0.338 states/eV per atom

! SrAl2Pd | Alexandria via LeMat-Bulk | GGA-PBE | relaxed; values from VASP
&SYSTEM
  ibrav = 0, nat = 32, ntyp = 3
/
ATOMIC_SPECIES
Sr 87.62 Sr.upf
Al 26.98 Al.upf
Pd 106.42 Pd.upf
CELL_PARAMETERS angstrom
15.9132 0.0000 0.0000
0.0000 7.3392 0.0000
0.0000 0.0000 6.0397
ATOMIC_POSITIONS angstrom
Sr 1.6295 1.8348 1.1999
Sr 2.0765 5.5044 0.0969
Sr 5.8801 1.8348 3.1167
Sr 6.3271 5.5044 4.2198
Sr 9.5861 1.8348 1.8199
Sr 10.0331 5.5044 2.9229
Sr 13.8367 1.8348 5.9428
Sr 14.2837 5.5044 4.8397
Al 0.7930 0.4744 4.1013
Al 0.7930 3.1952 4.1013
Al 3.3516 4.0894 3.1711
Al 3.3516 6.9193 3.1711
Al 4.6050 0.4199 0.1512
Al 4.6050 3.2497 0.1512
Al 7.1637 4.1440 1.0815
Al 7.1637 6.8648 1.0815
Al 8.7496 0.4744 4.9582
Al 8.7496 3.1952 4.9582
Al 11.3082 4.0894 5.8884
Al 11.3082 6.9193 5.8884
Al 12.5616 0.4199 2.8686
Al 12.5616 3.2497 2.8686
Al 15.1203 4.1440 1.9383
Al 15.1203 6.8648 1.9383
Pd 1.1416 5.5044 3.0575
Pd 3.0470 1.8348 4.5045
Pd 4.9097 5.5044 1.4847
Pd 6.8150 1.8348 0.0376
Pd 9.0983 5.5044 6.0020
Pd 11.0036 1.8348 4.5550
Pd 12.8663 5.5044 1.5351
Pd 14.7716 1.8348 2.9822
! ρ: 4.67 Mg/m³
! DFT formation energy: -591 meV/atom
! DOS at the Fermi energy: 0.430 states/eV per atom

! SrAl2Pd2 | Alexandria via LeMat-Bulk | GGA-PBE | relaxed; values from VASP
&SYSTEM
  ibrav = 0, nat = 5, ntyp = 3
/
ATOMIC_SPECIES
Sr 87.62 Sr.upf
Al 26.98 Al.upf
Pd 106.42 Pd.upf
CELL_PARAMETERS angstrom
-2.1217 2.1217 5.7049
2.1217 -2.1217 5.7049
2.1217 2.1217 -5.7049
ATOMIC_POSITIONS angstrom
Sr 0.0000 0.0000 0.0000
Al 2.1217 0.0000 2.8524
Al 0.0000 2.1217 2.8524
Pd 0.0000 0.0000 4.2641
Pd 0.0000 0.0000 7.1456
! ρ: 5.73 Mg/m³
! DFT formation energy: -737 meV/atom
! DOS at the Fermi energy: 0.551 states/eV per atom